Density functional theory data (PBE) for a relaxed Tl3In2Hg6 crystal.

a = 4.9551 Å, b = 4.9551 Å, c = 15.3034 Å
α = 80.68°, β = 80.68°, γ = 60.00°
With the nearest neighbours (Å) after each atom.
Fractional coordinates of all 11 atoms:
1 In 0.4582 0.4582 0.6255  6 Hg 3.12-3.13
2 In 0.5418 0.5418 0.3745  6 Hg 3.12-3.13
3 Hg 0.6346 0.6346 0.0963  6 Tl 3.21
4 Hg 0.0969 0.0969 0.7092  3 In 3.13, 3 Tl 3.21
5 Hg 0.1807 0.1807 0.4578  3 In 3.12, 3 Hg 3.13
6 Hg 0.9031 0.9031 0.2908  3 In 3.13, 3 Tl 3.21
7 Hg 0.8193 0.8193 0.5422  3 In 3.12, 3 Hg 3.13
8 Hg 0.3654 0.3654 0.9037  6 Tl 3.21
9 Tl 0.0000 0.0000 0.0000  6 Hg 3.21
10 Tl 0.2687 0.2687 0.1938  6 Hg 3.21
11 Tl 0.7313 0.7313 0.8062  6 Hg 3.21

symmetry = R-3m
ΔE_f = 0.01 eV per atom
crystal system = trigonal
energy above the most stable polymorph in this dataset = 0 meV/atom


Density functional theory data (PBE) for a relaxed Tl3In3Hg2 crystal.

a = 4.8497 Å, b = 5.8313 Å, c = 8.7039 Å
α = 99.46°, β = 106.18°, γ = 90.00°
With the nearest neighbours (Å) after each atom.
Fractional coordinates of all 8 atoms:
1 Hg 0.7542 0.7826 0.5085  3 In 3.10-3.13, 3 Tl 3.19-3.22
2 Hg 0.2458 0.2174 0.4915  3 In 3.10-3.13, 3 Tl 3.19-3.22
3 Tl 0.0000 0.0000 0.0000  4 In 3.25, 2 Tl 3.46
4 Tl 0.8674 0.3944 0.7348  3 Hg 3.19-3.22, 2 In 3.27, 1 Tl 3.46
5 Tl 0.1326 0.6056 0.2652  3 Hg 3.19-3.22, 2 In 3.27, 1 Tl 3.46
6 In 0.6291 0.1245 0.2582  3 Hg 3.10-3.13, 2 Tl 3.25, 1 In 3.33
7 In 0.5000 0.5000 0.0000  4 Tl 3.27, 2 In 3.33
8 In 0.3709 0.8755 0.7418  3 Hg 3.10-3.13, 2 Tl 3.25, 1 In 3.33

symmetry = C2/m
ΔE_f = 0.03 eV per atom
crystal system = monoclinic
energy above the most stable polymorph in this dataset = 11 meV/atom


Density functional theory data (PBE) for a relaxed Tl2InHg4 crystal.

a = 10.5279 Å, b = 10.5279 Å, c = 10.5279 Å
α = 60.00°, β = 60.00°, γ = 60.00°
With the nearest neighbours (Å) after each atom.
Fractional coordinates of all 28 atoms:
1 Hg 0.6250 0.1250 0.6250  6 Tl 3.36, 6 Hg 3.51
2 Hg 0.2190 0.2190 0.7810  2 In 2.98
3 Hg 0.0310 0.4690 0.0310  2 In 2.98
4 Hg 0.7810 0.7810 0.2190  2 In 2.98
5 Hg 0.6250 0.6250 0.1250  6 Tl 3.36, 6 Hg 3.51
6 Hg 0.4690 0.0310 0.0310  2 In 2.98
7 Hg 0.7810 0.2190 0.7810  2 In 2.98
8 Hg 0.7810 0.2190 0.2190  2 In 2.98
9 Hg 0.2190 0.7810 0.2190  2 In 2.98
10 Hg 0.1250 0.6250 0.6250  6 Tl 3.36, 6 Hg 3.51
11 Hg 0.4690 0.0310 0.4690  2 In 2.98
12 Hg 0.2190 0.7810 0.7810  2 In 2.98
13 Hg 0.0310 0.4690 0.4690  2 In 2.98
14 Hg 0.4690 0.4690 0.0310  2 In 2.98
15 Hg 0.0310 0.0310 0.4690  2 In 2.98
16 Hg 0.6250 0.6250 0.6250  6 Tl 3.36, 6 Hg 3.51
17 In 0.6250 0.1250 0.1250  6 Hg 2.98
18 In 0.1250 0.1250 0.6250  6 Hg 2.98
19 In 0.1250 0.6250 0.1250  6 Hg 2.98
20 In 0.1250 0.1250 0.1250  6 Hg 2.98
21 Tl 0.4031 0.4031 0.4031  9 Hg 3.36-3.42
22 Tl 0.7908 0.4031 0.4031  9 Hg 3.36-3.42
23 Tl 0.4592 0.8469 0.8469  9 Hg 3.36-3.42
24 Tl 0.4031 0.7908 0.4031  9 Hg 3.36-3.42
25 Tl 0.8469 0.8469 0.8469  9 Hg 3.36-3.42
26 Tl 0.8469 0.4592 0.8469  9 Hg 3.36-3.42
27 Tl 0.8469 0.8469 0.4592  9 Hg 3.36-3.42
28 Tl 0.4031 0.4031 0.7908  9 Hg 3.36-3.42

symmetry = Fd-3m
ΔE_f = 0.02 eV per atom
crystal system = cubic
energy above the most stable polymorph in this dataset = 0 meV/atom


Density functional theory data (PBE) for a relaxed Tl2In14Hg9 crystal.

a = 8.5946 Å, b = 8.7856 Å, c = 15.0405 Å
α = 76.26°, β = 117.26°, γ = 136.71°
With the nearest neighbours (Å) after each atom.
Fractional coordinates of all 25 atoms:
1 Hg 0.2140 0.2031 0.6242  4 In 3.02-3.36, 3 Hg 3.15-3.22, 1 Tl 3.29
2 Hg 0.3843 0.5500 0.0436  6 In 3.14-3.34, 3 Hg 3.26-3.45
3 Hg 0.7860 0.7969 0.3758  4 In 3.02-3.36, 3 Hg 3.15-3.22, 1 Tl 3.29
4 Hg 0.6157 0.4500 0.9564  6 In 3.14-3.34, 3 Hg 3.26-3.45
5 Hg 0.3504 0.3097 0.2457  5 In 3.14-3.34, 2 Hg 3.18-3.26, 1 Tl 3.38
6 Hg 0.6496 0.6903 0.7543  5 In 3.14-3.34, 2 Hg 3.18-3.26, 1 Tl 3.38
7 Hg 0.9780 0.7168 0.6041  5 In 3.12-3.24, 2 Hg 3.15-3.22, 1 Tl 3.26
8 Hg 0.0000 0.0000 0.0000  6 In 3.01-3.35, 2 Hg 3.31
9 Hg 0.0220 0.2832 0.3959  5 In 3.12-3.24, 2 Hg 3.15-3.22, 1 Tl 3.26
10 In 0.4105 0.2522 0.4761  5 Hg 3.15-3.36, 2 In 3.23-3.33
11 In 0.5895 0.7478 0.5239  5 Hg 3.15-3.36, 2 In 3.23-3.33
12 In 0.9253 0.7551 0.1783  4 Hg 3.01-3.34, 3 In 3.17-3.29
13 In 0.0747 0.2449 0.8217  4 Hg 3.01-3.34, 3 In 3.17-3.29
14 In 0.0050 0.3822 0.6021  2 Hg 3.02-3.12, 5 In 3.17-3.38
15 In 0.5100 0.0556 0.3773  2 Hg 3.13-3.26, 7 In 3.22-3.44, 1 Tl 3.38
16 In 0.7851 0.0139 0.1845  4 Hg 3.05-3.24, 3 In 3.06-3.31
17 In 0.4900 0.9444 0.6227  2 Hg 3.13-3.26, 7 In 3.22-3.44, 1 Tl 3.38
18 In 0.1912 0.7724 0.0082  3 In 3.06-3.27, 3 Hg 3.20-3.35, 1 Tl 3.32
19 In 0.8088 0.2276 0.9918  3 In 3.06-3.27, 3 Hg 3.20-3.35, 1 Tl 3.32
20 In 0.5630 0.2169 0.1606  4 In 3.18-3.33, 3 Hg 3.23-3.31
21 In 0.4370 0.7831 0.8394  4 In 3.18-3.33, 3 Hg 3.23-3.31
22 In 0.2149 0.9861 0.8155  4 Hg 3.05-3.24, 3 In 3.06-3.31
23 In 0.9950 0.6178 0.3979  2 Hg 3.02-3.12, 5 In 3.17-3.38
24 Tl 0.7662 0.3908 0.7660  3 Hg 3.26-3.38, 5 In 3.32-3.62
25 Tl 0.2338 0.6092 0.2340  3 Hg 3.26-3.38, 5 In 3.32-3.62

symmetry = P-1
ΔE_f = 0.02 eV per atom
crystal system = triclinic


Density functional theory data (PBE) for a relaxed Tl2InHg crystal.

a = 3.8706 Å, b = 3.8706 Å, c = 7.6988 Å
α = 90.00°, β = 90.00°, γ = 90.00°
With the nearest neighbours (Å) after each atom.
Fractional coordinates of all 4 atoms:
1 Hg 0.5000 0.5000 0.2500  8 Tl 3.31
2 In 0.5000 0.5000 0.7500  8 Tl 3.38
3 Tl 0.0000 0.0000 0.0075  4 Hg 3.31, 4 In 3.38
4 Tl 0.0000 0.0000 0.4925  4 Hg 3.31, 4 In 3.38

symmetry = P4/mmm
ΔE_f = 0.01 eV per atom
crystal system = tetragonal
energy above the most stable polymorph in this dataset = 11 meV/atom


Density functional theory data (PBE) for a relaxed Tl5In2Hg5 crystal.

a = 3.7812 Å, b = 8.5977 Å, c = 13.0929 Å
α = 122.89°, β = 90.00°, γ = 102.70°
With the nearest neighbours (Å) after each atom.
Fractional coordinates of all 12 atoms:
1 Hg 0.8277 0.6555 0.4900  4 Hg 3.27-3.35, 5 Tl 3.38-3.43
2 Hg 0.0000 0.0000 0.0000  8 Tl 3.33-3.39, 2 Hg 3.68
3 Hg 0.7439 0.4877 0.7500  2 In 3.23, 2 Hg 3.27, 5 Tl 3.34-3.54
4 Hg 0.1723 0.3445 0.5100  4 Hg 3.27-3.35, 5 Tl 3.38-3.43
5 Hg 0.2561 0.5123 0.2500  2 In 3.23, 2 Hg 3.27, 5 Tl 3.34-3.54
6 Tl 0.6628 0.3255 0.9982  4 Hg 3.33-3.34, 3 In 3.35-3.62, 3 Tl 3.46-3.64
7 Tl 0.5887 0.1773 0.2560  7 Hg 3.38-3.43, 2 In 3.48, 3 Tl 3.64-3.78
8 Tl 0.5000 0.0000 0.5000  4 In 3.32, 6 Hg 3.39-3.54
9 Tl 0.3372 0.6745 0.0018  4 Hg 3.33-3.34, 3 In 3.35-3.62, 3 Tl 3.46-3.64
10 Tl 0.4113 0.8227 0.7440  7 Hg 3.38-3.43, 2 In 3.48, 3 Tl 3.64-3.78
11 In 0.9128 0.8257 0.2514  2 Hg 3.23, 6 Tl 3.32-3.48
12 In 0.0872 0.1743 0.7486  2 Hg 3.23, 6 Tl 3.32-3.48

symmetry = C2/m
ΔE_f = 0.01 eV per atom
crystal system = monoclinic


Density functional theory data (PBE) for a relaxed Tl4InHg4 crystal.

a = 7.9707 Å, b = 7.9707 Å, c = 7.3502 Å
α = 122.83°, β = 122.83°, γ = 90.00°
With the nearest neighbours (Å) after each atom.
Fractional coordinates of all 9 atoms:
1 Hg 0.5975 0.5975 0.6614  4 Tl 3.01-3.24, 1 In 3.08
2 Hg 0.0639 0.0639 0.6614  4 Tl 3.01-3.24, 1 In 3.08
3 Hg 0.4025 0.9361 0.3386  4 Tl 3.01-3.24, 1 In 3.08
4 Hg 0.9361 0.4025 0.3386  4 Tl 3.01-3.24, 1 In 3.08
5 Tl 0.3401 0.3401 0.6802  4 Hg 3.01-3.08, 1 Tl 3.02, 1 In 3.21
6 Tl 0.6599 0.6599 0.3198  4 Hg 3.01-3.08, 1 Tl 3.02, 1 In 3.21
7 Tl 0.0000 0.5000 0.0000  4 Hg 3.24
8 Tl 0.5000 0.0000 0.0000  4 Hg 3.24
9 In 0.0000 0.0000 0.0000  4 Hg 3.08, 2 Tl 3.21

symmetry = I-42m
ΔE_f = 0.10 eV per atom
crystal system = tetragonal
energy above the most stable polymorph in this dataset = 84 meV/atom


Density functional theory data (PBE) for a relaxed Tl6In3Hg14 crystal.

a = 6.8135 Å, b = 10.4574 Å, c = 10.4574 Å
α = 120.00°, β = 90.00°, γ = 90.00°
With the nearest neighbours (Å) after each atom.
Fractional coordinates of all 23 atoms:
1 Hg 0.5009 0.1760 0.8241  8 Hg 3.14-3.50, 1 In 3.40
2 Hg 0.5009 0.6481 0.8240  8 Hg 3.14-3.50, 1 In 3.40
3 Hg 0.5009 0.1759 0.3519  8 Hg 3.14-3.50, 1 In 3.40
4 Hg 0.3520 0.5030 0.4970  2 In 3.13-3.18, 2 Hg 3.14, 4 Tl 3.23-3.45
5 Hg 0.3520 0.9939 0.4970  2 In 3.13-3.18, 2 Hg 3.14, 4 Tl 3.23-3.45
6 Hg 0.3698 0.0000 0.0000  3 Tl 3.27, 2 In 3.29-3.53, 6 Hg 3.31-3.40
7 Hg 0.6661 0.8486 0.1513  2 In 3.13-3.48, 3 Hg 3.19-3.40, 4 Tl 3.25-3.49
8 Hg 0.7421 0.3333 0.6667  6 Hg 3.28-3.29, 2 In 3.32-3.49, 3 Tl 3.58
9 Hg 0.9877 0.1773 0.8226  2 In 3.27-3.28, 3 Hg 3.28-3.50, 4 Tl 3.34-3.37
10 Hg 0.6661 0.8487 0.6973  2 In 3.13-3.48, 3 Hg 3.19-3.40, 4 Tl 3.25-3.49
11 Hg 0.9877 0.6453 0.8227  2 In 3.27-3.28, 3 Hg 3.28-3.50, 4 Tl 3.34-3.37
12 Hg 0.3520 0.5030 0.0061  2 In 3.13-3.18, 2 Hg 3.14, 4 Tl 3.23-3.45
13 Hg 0.6661 0.3027 0.1514  2 In 3.13-3.48, 3 Hg 3.19-3.40, 4 Tl 3.25-3.49
14 Hg 0.9877 0.1774 0.3547  2 In 3.27-3.28, 3 Hg 3.28-3.50, 4 Tl 3.34-3.37
15 Tl 0.1765 0.8345 0.6690  7 Hg 3.23-3.49, 2 Tl 3.58, 1 In 3.59
16 Tl 0.8544 0.9473 0.4736  7 Hg 3.25-3.58, 1 In 3.50, 2 Tl 3.58
17 Tl 0.8544 0.5264 0.4737  7 Hg 3.25-3.58, 1 In 3.50, 2 Tl 3.58
18 Tl 0.1765 0.3310 0.1655  7 Hg 3.23-3.49, 2 Tl 3.58, 1 In 3.59
19 Tl 0.8544 0.5263 0.0527  7 Hg 3.25-3.58, 1 In 3.50, 2 Tl 3.58
20 Tl 0.1765 0.8345 0.1655  7 Hg 3.23-3.49, 2 Tl 3.58, 1 In 3.59
21 In 0.5013 0.6667 0.3333  6 Hg 3.13-3.48, 3 Tl 3.50
22 In 0.8873 0.0000 0.0000  7 Hg 3.13-3.29
23 In 0.2296 0.3333 0.6667  11 Hg 3.18-3.49

symmetry = P3m1
ΔE_f = 0.01 eV per atom
crystal system = trigonal